1.
Cs3Tl2GaI6, optimized geometry, DFT PBE; symmetry = C2/m, No. 12; raw total energy = -2.67 eV/atom; crystal system = monoclinic; formation energy (no corrections) = -1.034 eV per atom
1.0
9.0431 -0.0006 -0.0028
-4.5199 7.8325 -0.0028
-1.5115 -2.6171 8.5605
Cs Tl Ga I
3 2 1 6
direct
0.1705 0.8295 0.5000 Cs
0.8295 0.1705 0.5000 Cs
0.5000 0.5000 0.5000 Cs
0.3346 0.6654 0.0000 Tl
0.6654 0.3346 0.0000 Tl
0.0000 0.0000 0.0000 Ga
0.9277 0.6071 0.7827 I
0.7535 0.7535 0.2202 I
0.0723 0.3929 0.2173 I
0.6071 0.9277 0.7827 I
0.2465 0.2465 0.7798 I
0.3929 0.0723 0.2173 I

***

2.
AgPPtC2, optimized geometry, DFT PBE; symmetry = P4/mmm, No. 123; calculated formation energy = 1.714 eV/atom; raw total energy = -4.84 eV/atom; crystal system = tetragonal
1.0
-0.2232 3.8187 0.3731
-3.5118 0.2594 -4.7567
-3.0855 -0.4008 2.2561
P C Ag Pt
1 2 1 1
direct
0.5000 0.5000 0.5000 P
0.0000 0.0000 0.5000 C
0.5000 0.0000 0.0000 C
0.0000 0.5000 0.0000 Ag
0.0000 0.0000 0.0000 Pt

***

3.
Nd4HoEr3Te8, optimized geometry, DFT PBE; symmetry = R-3m, No. 166; raw total energy = -5.23 eV/atom; crystal system = trigonal; formation energy (no corrections) = -1.326 eV per atom
1.0
-2.6542 8.1832 1.2889
-2.1038 0.6843 -8.6769
-3.4352 -6.4754 4.6831
Nd Ho Er Te
4 1 3 8
direct
0.5000 0.0000 0.0000 Nd
0.5000 0.0000 0.5000 Nd
0.0000 0.0000 0.0000 Nd
0.0000 0.0000 0.5000 Nd
0.0000 0.5000 0.0000 Ho
0.5000 0.5000 0.0000 Er
0.5000 0.5000 0.5000 Er
0.0000 0.5000 0.5000 Er
0.2453 0.7347 0.9894 Te
0.2453 0.7347 0.4906 Te
0.2553 0.2658 0.5105 Te
0.7442 0.7347 0.9894 Te
0.2558 0.2653 0.0106 Te
0.7447 0.7342 0.4895 Te
0.7547 0.2653 0.5094 Te
0.7547 0.2653 0.0106 Te

***

4.
ZrTl2Co, optimized geometry, DFT PBE; symmetry = I-4m2, No. 119; calculated formation energy = 0.338 eV/atom; raw total energy = -4.76 eV/atom; crystal system = tetragonal
1.0
5.3904 0.0528 0.0000
1.9218 5.0364 0.0000
-3.6561 -2.5446 3.0359
Co Tl Zr
1 2 1
direct
0.7500 0.2500 0.5000 Co
0.0000 0.0000 0.0000 Tl
0.2500 0.7500 0.5000 Tl
0.5000 0.5000 0.0000 Zr

***

5.
BaFe4Os, optimized geometry, DFT PBE; symmetry = F-43m, No. 216; calculated formation energy = 0.780 eV/atom; raw total energy = -7.05 eV/atom; crystal system = cubic
1.0
0.0000 3.6388 3.6388
3.6388 0.0000 3.6388
3.6388 3.6388 0.0000
Ba Fe Os
1 4 1
direct
0.0000 0.0000 0.0000 Ba
0.8686 0.3771 0.3771 Fe
0.3771 0.3771 0.8686 Fe
0.3771 0.8686 0.3771 Fe
0.3771 0.3771 0.3771 Fe
0.7500 0.7500 0.7500 Os

***

6.
Sc2HgH2, optimized geometry, DFT PBE; polymorph energy (0 for the lowest one) = 0 meV/atom; symmetry = I4/mmm, No. 139; raw total energy = -4.55 eV/atom; crystal system = tetragonal
1.0
3.5138 0.0000 0.0000
0.0000 3.5138 0.0000
-1.7569 -1.7569 5.6001
Sc Hg H
2 1 2
direct
0.6548 0.6548 0.3097 Sc
0.3452 0.3452 0.6903 Sc
0.0000 0.0000 0.0000 Hg
0.7500 0.2500 0.5000 H
0.2500 0.7500 0.5000 H

***

7.
La2PrInO, optimized geometry, DFT PBE; symmetry = P4/mmm, No. 123; raw total energy = -5.89 eV/atom; crystal system = tetragonal; formation energy (no corrections) = -1.423 eV per atom
1.0
5.0859 0.0000 0.0000
0.0000 5.0630 0.0000
0.0000 0.0000 5.0630
La Pr In O
2 1 1 1
direct
0.0000 0.0000 0.5000 La
0.0000 0.5000 0.0000 La
0.5000 0.0000 0.0000 Pr
0.5000 0.5000 0.5000 In
0.0000 0.0000 0.0000 O

***

8.
CeTmPd, optimized geometry, DFT PBE; polymorph energy (0 for the lowest one) = 163 meV/atom; symmetry = P3m1, No. 156; calculated formation energy = -0.300 eV/atom; raw total energy = -5.50 eV/atom; crystal system = trigonal
1.0
-2.0375 2.2807 2.1093
-3.5200 -3.2538 0.1180
3.4226 -0.0478 3.3579
Tm Pd Ce
1 1 1
direct
0.5870 0.6667 0.3333 Tm
0.3770 0.3333 0.6667 Pd
0.0360 0.0000 0.0000 Ce